Entry 1:
VASP calculation (PBE) on an optimized crystal structure of Sr2SbW.

The space group is Amm2 (No. 38) and the conventional cell measures 4.5969, 4.7156 and 12.0251 Å, with angles of 90.00, 90.00 and 90.00 degrees. The distinct sites, in fractional coordinates, are Sr at (0.0000, 0.0000, 0.0000), Sr at (0.5000, 0.0000, 0.2907), Sb at (0.5000, 0.0000, 0.5868) and W at (0.0000, 0.0000, 0.7026).

The density of states at the Fermi level comes out at 8.540 states/eV per cell. Its total energy is -4.747 eV/atom.


Entry 2:
VASP calculation (PBE) on an optimized crystal structure of BeRe2Ir.

The space group is I-4m2 (No. 119) and the conventional cell measures 3.8137, 3.8137 and 7.5521 Å, with angles of 90.00, 90.00 and 90.00 degrees. The distinct sites, in fractional coordinates, are Be at (0.0000, 0.0000, 0.0000), Re at (0.0000, 0.0000, 0.5000), Re at (0.0000, 0.5000, 0.2500) and Ir at (0.0000, 0.5000, 0.7500).

Its energy of formation is 0.35 eV/f.u. The density of states at the Fermi level comes out at 7.468 states/eV per cell.


Entry 3:
VASP calculation (PBE) on an optimized crystal structure of PrZn3Rh.

The space group is Pm-3m (No. 221) and the conventional cell measures 4.7580, 4.7580 and 4.7580 Å, with angles of 90.00, 90.00 and 90.00 degrees. The distinct sites, in fractional coordinates, are Pr at (0.0000, 0.0000, 0.0000), Zn at (0.0000, 0.5000, 0.5000) and Rh at (0.5000, 0.5000, 0.5000).

Its energy of formation is -1.26 eV/f.u. The density of states at the Fermi level comes out at 5.799 states/eV per cell.


Entry 4:
VASP calculation (PBE) on an optimized crystal structure of Sc6InGa3.

The space group is Cmc2_1 (No. 36) and the conventional cell measures 9.9318, 13.9240 and 6.4561 Å, with angles of 90.00, 90.00 and 90.00 degrees. The distinct sites, in fractional coordinates, are Sc at (0.0000, 0.0343, 0.0000), Sc at (0.0000, 0.3011, 0.9160), Sc at (0.2166, 0.3043, 0.5113), Sc at (0.2238, 0.4643, 0.8412), In at (0.0000, 0.1794, 0.3114), Ga at (0.0000, 0.4523, 0.5703) and Ga at (0.1402, 0.1301, 0.6819).

Its energy of formation is -3.42 eV/f.u. The density of states at the Fermi level comes out at 42.860 states/eV per cell.


Entry 5:
VASP calculation (PBE) on an optimized crystal structure of SiGeBRh2.

The space group is P4/mmm (No. 123) and the conventional cell measures 4.6668, 4.6668 and 3.6986 Å, with angles of 90.00, 90.00 and 90.00 degrees. The distinct sites, in fractional coordinates, are Si at (0.0000, 0.0000, 0.0000), Ge at (0.5000, 0.5000, 0.5000), B at (0.5000, 0.5000, 0.0000) and Rh at (0.0000, 0.5000, 0.5000).

The density of states at the Fermi level comes out at 4.007 states/eV per cell. Its total energy is -5.330 eV/atom.


Entry 6:
VASP calculation (PBE) on an optimized crystal structure of TmZn4Ga.

The space group is F-43m (No. 216) and the conventional cell measures 7.5513, 7.5513 and 7.5513 Å, with angles of 90.00, 90.00 and 90.00 degrees. The distinct sites, in fractional coordinates, are Tm at (0.0000, 0.0000, 0.0000), Zn at (0.1252, 0.1252, 0.6252) and Ga at (0.2500, 0.2500, 0.2500).

Its energy of formation is -0.85 eV/f.u. The density of states at the Fermi level comes out at 18.636 states/eV per cell.